Record 1
EuSnAu2, relaxed, DFT GGA-PBEsol; space-group type = Fm-3m; ΔE_f = -622.7 meV/atom
1.0
0.0000 3.5107 3.5107
3.5107 0.0000 3.5107
3.5107 3.5107 0.0000
Eu Sn Au
1 1 2
direct
0.0000 0.0000 0.0000 Eu
0.5000 0.5000 0.5000 Sn
0.2500 0.2500 0.2500 Au
0.7500 0.7500 0.7500 Au

---

Record 2
TiAlInC2, relaxed, DFT GGA-PBEsol; space-group type = P4/mmm; ΔE_f = 1384.8 meV/atom
1.0
4.0715 0.0000 0.0000
0.0000 4.0715 0.0000
0.0000 0.0000 5.1122
Ti Al In C
1 1 1 2
direct
0.0000 0.0000 0.0000 Ti
0.0000 0.0000 0.5000 Al
0.5000 0.5000 0.5000 In
0.0000 0.5000 0.0000 C
0.5000 0.0000 0.0000 C

---

Record 3
HfCuTeW2, relaxed, DFT GGA-PBEsol; space-group type = P4/mmm; formation energy from raw total energies = 2.424 eV/atom
1.0
4.8181 0.0000 0.0000
0.0000 4.8181 0.0000
0.0000 0.0000 5.2220
Hf Cu Te W
1 1 1 2
direct
0.0000 0.0000 0.0000 Hf
0.5000 0.5000 0.5000 Cu
0.0000 0.0000 0.5000 Te
0.0000 0.5000 0.0000 W
0.5000 0.0000 0.0000 W

---

Record 4
Ba2ZnH2, relaxed, DFT GGA-PBEsol; space-group type = I4/mmm; total DFT energy (no corrections) = -2.765 eV per atom
1.0
-2.0991 2.0991 7.2122
2.0991 -2.0991 7.2122
2.0991 2.0991 -7.2122
Ba Zn H
2 1 2
direct
0.1456 0.1456 0.0000 Ba
0.8544 0.8544 0.0000 Ba
0.5000 0.5000 0.0000 Zn
0.2500 0.7500 0.5000 H
0.7500 0.2500 0.5000 H

---

Record 5
Ca2Mg2Cu, relaxed, DFT GGA-PBEsol; space-group type = C2/c; energy above the lowest structure with this stoichiometry = 19.4 meV/atom; ΔE_f = -48.2 meV/atom
1.0
5.7715 -3.2570 0.0000
5.7715 3.2570 0.0000
-2.1387 0.0000 6.8019
Ca Mg Cu
4 4 2
direct
0.0648 0.2363 0.1322 Ca
0.2363 0.0648 0.6322 Ca
0.7637 0.9352 0.3678 Ca
0.9352 0.7637 0.8678 Ca
0.2938 0.4970 0.5315 Mg
0.4970 0.2938 0.0315 Mg
0.5030 0.7062 0.9685 Mg
0.7062 0.5030 0.4685 Mg
0.2697 0.7303 0.2500 Cu
0.7303 0.2697 0.7500 Cu

---

Record 6
Mg2FeTc, relaxed, DFT GGA-PBEsol; space-group type = Immm; energy above the lowest structure with this stoichiometry = 0.0 meV/atom; ΔE_f = 403.8 meV/atom
1.0
-1.4595 2.2469 4.5555
1.4595 -2.2469 4.5555
1.4595 2.2469 -4.5555
Mg Fe Tc
2 1 1
direct
0.2384 0.2384 0.0000 Mg
0.7616 0.7616 0.0000 Mg
0.0000 0.5000 0.5000 Fe
0.5000 0.0000 0.5000 Tc

---

Record 7
LaMn2Ag, relaxed, DFT GGA-PBEsol; space-group type = I-4m2; ΔE_f = 469.2 meV/atom
1.0
-2.0539 2.0539 4.3996
2.0539 -2.0539 4.3996
2.0539 2.0539 -4.3996
La Mn Ag
1 2 1
direct
0.0000 0.0000 0.0000 La
0.5000 0.5000 0.0000 Mn
0.7500 0.2500 0.5000 Mn
0.2500 0.7500 0.5000 Ag

---

Record 8
MgS2O7, relaxed, DFT GGA-PBEsol; space-group type = P-1; formation energy from raw total energies = -1.705 eV/atom
1.0
4.9265 0.0000 0.0000
-1.8838 6.7211 0.0000
-0.6844 -0.5512 8.2332
Mg S O
2 4 14
direct
0.0000 0.0000 0.0000 Mg
0.5000 0.5000 0.5000 Mg
0.0010 0.3588 0.7343 S
0.3699 0.7529 0.8098 S
0.6301 0.2471 0.1902 S
0.9990 0.6412 0.2657 S
0.0858 0.8050 0.1637 O
0.1600 0.8624 0.8193 O
0.1658 0.3202 0.6053 O
0.2189 0.5262 0.8628 O
0.2262 0.5557 0.3177 O
0.3951 0.1878 0.0655 O
0.4439 0.7294 0.6455 O
0.5561 0.2706 0.3545 O
0.6049 0.8122 0.9345 O
0.7738 0.4443 0.6823 O
0.7811 0.4738 0.1372 O
0.8342 0.6798 0.3947 O
0.8400 0.1376 0.1807 O
0.9142 0.1950 0.8363 O

---

Which formula does entry 6 have? Mg2FeTc